Below is a relaxed BaTlHg2 crystal, with properties calculated at the PBE-GGA level.

a = 6.090 Å, b = 6.090 Å, c = 5.729 Å
α = 117.26°, β = 117.26°, γ = 44.52°
Atoms (fractional coordinates):
Ba 0.000 0.000 0.000
Tl 0.220 0.220 0.716
Hg 0.485 0.485 0.485
Hg 0.769 0.769 0.270

Properties
The value obtained for the uncorrected energy is -1.558 eV per atom. The value obtained for the energy above the most stable polymorph in this dataset is 63 meV per atom. For the formation energy, the calculation gives -0.3347 eV per atom. The space group is Cm. The calculation puts the density of states at the Fermi level at 0.417 states/eV per atom.


Below is a relaxed Ho5In2AgIr2 crystal, with properties calculated at the PBE-GGA level.

a = 11.698 Å, b = 11.698 Å, c = 3.649 Å
α = 90.00°, β = 90.00°, γ = 90.00°
Atoms (fractional coordinates):
Ho 0.000 0.500 0.000
Ho 0.074 0.203 0.000
Ho 0.203 0.926 0.000
Ho 0.297 0.426 0.000
Ho 0.426 0.703 0.000
Ho 0.500 0.000 0.000
Ho 0.574 0.297 0.000
Ho 0.703 0.574 0.000
Ho 0.797 0.074 0.000
Ho 0.926 0.797 0.000
In 0.174 0.674 0.500
In 0.326 0.174 0.500
In 0.674 0.826 0.500
In 0.826 0.326 0.500
Ag 0.000 0.000 0.500
Ag 0.500 0.500 0.500
Ir 0.134 0.366 0.500
Ir 0.366 0.866 0.500
Ir 0.634 0.134 0.500
Ir 0.866 0.634 0.500

Properties
The value obtained for the uncorrected energy is -5.464 eV per atom. For the formation energy, the calculation gives -0.5706 eV per atom. The space group is P4/mbm. The calculation puts the density of states at the Fermi level at 0.485 states/eV per atom.


Below is a relaxed Nd2Dy3Er9 crystal, with properties calculated at the PBE-GGA level.

a = 5.353 Å, b = 8.289 Å, c = 10.622 Å
α = 97.56°, β = 100.67°, γ = 97.99°
Atoms (fractional coordinates):
Nd 0.019 0.479 0.241
Nd 0.981 0.521 0.759
Dy 0.210 0.094 0.334
Dy 0.500 0.500 0.000
Dy 0.790 0.906 0.666
Er 0.022 0.811 0.066
Er 0.176 0.789 0.511
Er 0.390 0.195 0.701
Er 0.414 0.868 0.863
Er 0.500 0.500 0.500
Er 0.586 0.132 0.137
Er 0.610 0.805 0.299
Er 0.824 0.211 0.489
Er 0.978 0.189 0.934

Properties
The value obtained for the uncorrected energy is -4.425 eV per atom. For the formation energy, the calculation gives 0.1752 eV per atom. The space group is P-1. The calculation puts the density of states at the Fermi level at 1.520 states/eV per atom.


Below is a relaxed YAl2Zn9 crystal, with properties calculated at the PBE-GGA level.

a = 8.259 Å, b = 8.259 Å, c = 8.259 Å
α = 100.43°, β = 100.43°, γ = 129.63°
Atoms (fractional coordinates):
Y 0.375 0.625 0.750
Y 0.625 0.375 0.250
Al 0.000 0.000 0.000
Al 0.000 0.000 0.500
Al 0.000 0.500 0.000
Al 0.500 0.000 0.500
Zn 0.125 0.875 0.250
Zn 0.128 0.552 0.335
Zn 0.128 0.793 0.576
Zn 0.207 0.283 0.335
Zn 0.207 0.872 0.924
Zn 0.283 0.207 0.835
Zn 0.283 0.448 0.076
Zn 0.448 0.283 0.576
Zn 0.448 0.872 0.165
Zn 0.552 0.128 0.835
Zn 0.552 0.717 0.424
Zn 0.717 0.552 0.924
Zn 0.717 0.793 0.165
Zn 0.793 0.128 0.076
Zn 0.793 0.717 0.665
Zn 0.872 0.207 0.424
Zn 0.872 0.448 0.665
Zn 0.875 0.125 0.750

Properties
The value obtained for the uncorrected energy is -2.256 eV per atom. The value obtained for the energy above the most stable polymorph in this dataset is 0 meV per atom. For the formation energy, the calculation gives -0.1376 eV per atom. The space group is I4_1/amd. The calculation puts the density of states at the Fermi level at 0.274 states/eV per atom.


Below is a relaxed Dy6Zn5Hg crystal, with properties calculated at the PBE-GGA level.

a = 8.791 Å, b = 8.791 Å, c = 5.074 Å
α = 106.71°, β = 106.71°, γ = 48.59°
Atoms (fractional coordinates):
Dy 0.076 0.585 0.331
Dy 0.241 0.759 0.000
Dy 0.415 0.924 0.669
Dy 0.585 0.076 0.331
Dy 0.759 0.241 0.000
Dy 0.924 0.415 0.669
Zn 0.000 0.000 0.500
Zn 0.168 0.168 0.168
Zn 0.332 0.332 0.832
Zn 0.668 0.668 0.168
Zn 0.832 0.832 0.832
Hg 0.500 0.500 0.500

Properties
The value obtained for the uncorrected energy is -3.217 eV per atom. For the formation energy, the calculation gives -0.3596 eV per atom. The space group is C2/m. The calculation puts the density of states at the Fermi level at 1.166 states/eV per atom.


Below is a relaxed Li2HgRuW crystal, with properties calculated at the PBE-GGA level.

a = 4.983 Å, b = 4.983 Å, c = 4.521 Å
α = 90.00°, β = 90.00°, γ = 90.00°
Atoms (fractional coordinates):
Li 0.000 0.500 0.000
Li 0.500 0.000 0.000
Hg 0.000 0.000 0.500
Ru 0.500 0.500 0.500
W 0.500 0.500 0.000

Properties
The value obtained for the uncorrected energy is -4.011 eV per atom. For the formation energy, the calculation gives 1.2611 eV per atom. The space group is P4/mmm. The calculation puts the density of states at the Fermi level at 1.089 states/eV per atom.